1.
Compound: Tb5Pr3Nd4
Source: the Alexandria database
Functional: PBE
Structure: relaxed

Cell and atoms, written as CIF:
```
data_Tb5Pr3Nd4
_chemical_formula_sum 'Tb10 Pr6 Nd8'
_cell_length_a 16.282
_cell_length_b 6.046
_cell_length_c 9.449
_cell_angle_alpha 90.00
_cell_angle_beta 116.04
_cell_angle_gamma 90.00
_space_group_name_H-M_alt 'C 1 2/m 1'
_space_group_IT_number 12
loop_
_space_group_symop_operation_xyz
'x,y,z'
'-x,-y,-z'
'-x,y,-z'
'x,-y,z'
'x+1/2,y+1/2,z'
'-x+1/2,-y+1/2,-z'
'-x+1/2,y+1/2,-z'
'x+1/2,-y+1/2,z'
loop_
_atom_site_label
_atom_site_fract_x
_atom_site_fract_y
_atom_site_fract_z
Tb1 0.000 0.000 0.000
Tb2 0.072 0.500 0.697
Tb3 0.172 0.500 0.389
Pr1 0.000 0.500 0.000
Pr2 0.209 0.000 0.230
Nd1 0.084 0.000 0.444
Nd2 0.209 0.000 0.879
```

Computed properties:
The energy relative to the elements comes out at 0.21 eV/atom.

***

2.
Compound: ReTc3Sb
Source: the Alexandria database
Functional: PBE
Structure: relaxed

Cell and atoms, written as CIF:
```
data_ReTc3Sb
_chemical_formula_sum 'Re1 Tc3 Sb1'
_cell_length_a 4.718
_cell_length_b 4.718
_cell_length_c 4.718
_cell_angle_alpha 90.00
_cell_angle_beta 90.00
_cell_angle_gamma 90.00
_space_group_name_H-M_alt 'P m -3 m'
_space_group_IT_number 221
_space_group_name_Hall '-P 4 2 3'
loop_
_atom_site_label
_atom_site_fract_x
_atom_site_fract_y
_atom_site_fract_z
Re1 0.000 0.000 0.000
Tc1 0.000 0.000 0.500
Sb1 0.500 0.500 0.500
```

Computed properties:
The value obtained for the raw formation energy is 1.54 eV/atom.

***

3.
Compound: In2AsBr2
Source: the Alexandria database
Functional: PBE
Structure: relaxed

Cell and atoms, written as CIF:
```
data_In2AsBr2
_chemical_formula_sum 'In4 As2 Br4'
_cell_length_a 7.939
_cell_length_b 7.939
_cell_length_c 4.789
_cell_angle_alpha 90.00
_cell_angle_beta 90.00
_cell_angle_gamma 90.00
_space_group_name_H-M_alt 'P 4/m b m'
_space_group_IT_number 127
_space_group_name_Hall '-P 4 2ab'
loop_
_atom_site_label
_atom_site_fract_x
_atom_site_fract_y
_atom_site_fract_z
In1 0.193 0.307 0.000
As1 0.000 0.000 0.000
Br1 0.155 0.655 0.500
```

Computed properties:
The value obtained for the raw formation energy is -0.18 eV/atom.

***

4.
Compound: Th4CuGe8
Source: the Alexandria database
Functional: PBE
Structure: relaxed

Cell and atoms, written as CIF:
```
data_Th4CuGe8
_chemical_formula_sum 'Th4 Cu1 Ge8'
_cell_length_a 4.091
_cell_length_b 4.217
_cell_length_c 16.921
_cell_angle_alpha 90.00
_cell_angle_beta 90.00
_cell_angle_gamma 90.00
_space_group_name_H-M_alt 'P m m 2'
_space_group_IT_number 25
loop_
_space_group_symop_operation_xyz
'x,y,z'
'-x,-y,z'
'-x,y,z'
'x,-y,z'
loop_
_atom_site_label
_atom_site_fract_x
_atom_site_fract_y
_atom_site_fract_z
Th1 0.000 0.000 0.000
Th2 0.000 0.500 0.492
Th3 0.500 0.000 0.788
Th4 0.500 0.500 0.282
Cu1 0.000 0.500 0.711
Ge1 0.000 0.000 0.338
Ge2 0.000 0.000 0.633
Ge3 0.000 0.500 0.140
Ge4 0.000 0.500 0.852
Ge5 0.500 0.000 0.141
Ge6 0.500 0.000 0.436
Ge7 0.500 0.500 0.631
Ge8 0.500 0.500 0.945
```

Computed properties:
The energy relative to the elements comes out at -0.58 eV/atom.

***

5.
Compound: Cr2I3Br
Source: the Alexandria database
Functional: PBE
Structure: relaxed

Cell and atoms, written as CIF:
```
data_Cr2I3Br
_chemical_formula_sum 'Cr4 I6 Br2'
_cell_length_a 8.0761
_cell_length_b 8.0761
_cell_length_c 7.2312
_cell_angle_alpha 90.00
_cell_angle_beta 90.00
_cell_angle_gamma 120.00
_space_group_name_H-M_alt 'P -3 m 1'
_space_group_IT_number 164
_space_group_name_Hall '-P 3 2"'
loop_
_atom_site_label
_atom_site_fract_x
_atom_site_fract_y
_atom_site_fract_z
Cr1 0.0000 0.0000 0.0000
Cr2 0.0000 0.5000 0.0000
I1 0.1659 0.3317 0.2281
Br1 0.3333 0.6667 0.8109
```

Computed properties:
The value obtained for the raw formation energy is -0.34 eV/atom.

***

6.
Compound: CaThPb6
Source: the Alexandria database
Functional: PBE
Structure: relaxed

Cell and atoms, written as CIF:
```
data_CaThPb6
_chemical_formula_sum 'Ca1 Th1 Pb6'
_cell_length_a 4.901
_cell_length_b 4.901
_cell_length_c 9.941
_cell_angle_alpha 90.00
_cell_angle_beta 90.00
_cell_angle_gamma 90.00
_space_group_name_H-M_alt 'P 4/m m m'
_space_group_IT_number 123
_space_group_name_Hall '-P 4 2'
loop_
_atom_site_label
_atom_site_fract_x
_atom_site_fract_y
_atom_site_fract_z
Ca1 0.000 0.000 0.000
Th1 0.000 0.000 0.500
Pb1 0.000 0.500 0.248
Pb2 0.500 0.500 0.000
Pb3 0.500 0.500 0.500
```

Computed properties:
The energy relative to the elements comes out at -0.27 eV/atom.

***

7.
Compound: LuTaRu2
Source: the Alexandria database
Functional: PBE
Structure: relaxed

Cell and atoms, written as CIF:
```
data_LuTaRu2
_chemical_formula_sum 'Lu1 Ta1 Ru2'
_cell_length_a 3.220
_cell_length_b 3.220
_cell_length_c 6.630
_cell_angle_alpha 90.00
_cell_angle_beta 90.00
_cell_angle_gamma 90.00
_space_group_name_H-M_alt 'P 4/m m m'
_space_group_IT_number 123
_space_group_name_Hall '-P 4 2'
loop_
_atom_site_label
_atom_site_fract_x
_atom_site_fract_y
_atom_site_fract_z
Lu1 0.000 0.000 0.000
Ta1 0.000 0.000 0.500
Ru1 0.500 0.500 0.272
```

Computed properties:
The energy relative to the elements comes out at -0.54 eV/atom.

***

8.
Compound: Pm2PaSb
Source: the Alexandria database
Functional: PBE
Structure: relaxed

Cell and atoms, written as CIF:
```
data_Pm2PaSb
_chemical_formula_sum 'Pm6 Pa3 Sb3'
_cell_length_a 3.3357
_cell_length_b 3.3357
_cell_length_c 35.8683
_cell_angle_alpha 90.00
_cell_angle_beta 90.00
_cell_angle_gamma 120.00
_space_group_name_H-M_alt 'R -3 m'
_space_group_IT_number 166
_space_group_name_Hall '-R 3 2"'
loop_
_atom_site_label
_atom_site_fract_x
_atom_site_fract_y
_atom_site_fract_z
Pm1 0.0000 0.0000 0.0913
Pa1 0.0000 0.0000 0.0000
Sb1 0.0000 0.0000 0.5000
```

Computed properties:
The value obtained for the raw formation energy is 0.07 eV/atom.

***

9.
Compound: TbCe2Ge3Pt4
Source: the Alexandria database
Functional: PBE
Structure: relaxed

Cell and atoms, written as CIF:
```
data_TbCe2Ge3Pt4
_chemical_formula_sum 'Tb1 Ce2 Ge3 Pt4'
_cell_length_a 4.276
_cell_length_b 4.276
_cell_length_c 11.310
_cell_angle_alpha 90.00
_cell_angle_beta 90.00
_cell_angle_gamma 90.00
_space_group_name_H-M_alt 'P -4 m 2'
_space_group_IT_number 115
loop_
_space_group_symop_operation_xyz
'x,y,z'
'y,-x,-z'
'-x,-y,z'
'-y,x,-z'
'-x,y,z'
'-y,-x,-z'
'x,-y,z'
'y,x,-z'
loop_
_atom_site_label
_atom_site_fract_x
_atom_site_fract_y
_atom_site_fract_z
Tb1 0.000 0.000 0.000
Ce1 0.000 0.500 0.725
Ge1 0.000 0.500 0.377
Ge2 0.500 0.500 0.000
Pt1 0.000 0.000 0.500
Pt2 0.000 0.500 0.159
Pt3 0.500 0.500 0.500
```

Computed properties:
The energy relative to the elements comes out at -0.92 eV/atom.

***

10.
Compound: CeTmCdRh
Source: the Alexandria database
Functional: PBE
Structure: relaxed

Cell and atoms, written as CIF:
```
data_CeTmCdRh
_chemical_formula_sum 'Ce4 Tm4 Cd4 Rh4'
_cell_length_a 7.192
_cell_length_b 7.192
_cell_length_c 7.192
_cell_angle_alpha 90.00
_cell_angle_beta 90.00
_cell_angle_gamma 90.00
_space_group_name_H-M_alt 'F -4 3 m'
_space_group_IT_number 216
_space_group_name_Hall 'F -4 2 3'
loop_
_atom_site_label
_atom_site_fract_x
_atom_site_fract_y
_atom_site_fract_z
Ce1 0.000 0.000 0.000
Tm1 0.000 0.000 0.500
Cd1 0.250 0.250 0.750
Rh1 0.250 0.250 0.250
```

Computed properties:
The energy relative to the elements comes out at -0.42 eV/atom.

***

11.
Compound: Zr4CoMo
Source: the Alexandria database
Functional: PBE
Structure: relaxed

Cell and atoms, written as CIF:
```
data_Zr4CoMo
_chemical_formula_sum 'Zr16 Co4 Mo4'
_cell_length_a 7.900
_cell_length_b 7.900
_cell_length_c 7.900
_cell_angle_alpha 90.00
_cell_angle_beta 90.00
_cell_angle_gamma 90.00
_space_group_name_H-M_alt 'F -4 3 m'
_space_group_IT_number 216
_space_group_name_Hall 'F -4 2 3'
loop_
_atom_site_label
_atom_site_fract_x
_atom_site_fract_y
_atom_site_fract_z
Zr1 0.124 0.124 0.376
Co1 0.000 0.000 0.000
Mo1 0.250 0.250 0.750
```

Computed properties:
The energy relative to the elements comes out at 0.80 eV/atom.

***

12.
Compound: Dy3AlTl4Te8
Source: the Alexandria database
Functional: PBE
Structure: relaxed

Cell and atoms, written as CIF:
```
data_Dy3AlTl4Te8
_chemical_formula_sum 'Dy9 Al3 Tl12 Te24'
_cell_length_a 8.7956
_cell_length_b 8.7956
_cell_length_c 24.4427
_cell_angle_alpha 90.00
_cell_angle_beta 90.00
_cell_angle_gamma 120.00
_space_group_name_H-M_alt 'R -3 m'
_space_group_IT_number 166
_space_group_name_Hall '-R 3 2"'
loop_
_atom_site_label
_atom_site_fract_x
_atom_site_fract_y
_atom_site_fract_z
Dy1 0.0000 0.5000 0.0000
Al1 0.0000 0.0000 0.0000
Tl1 0.0000 0.0000 0.5000
Tl2 0.0000 0.5000 0.5000
Te1 0.0000 0.0000 0.2614
Te2 0.0197 0.5098 0.7344
```

Computed properties:
The value obtained for the raw formation energy is -0.85 eV/atom.